*w*
This record from Alexandria via LeMat-Bulk describes a geometry-optimized TcBi2Cl structure. The functional is GGA-PBE.

Results
Magnetic moment   0.000 μB per atom

Lattice parameters (Å, degrees): 6.593 6.593 12.849 90.00 90.00 90.00
Space group I-42d (No. 122)
One atom of each set of equivalent atoms:
Tc: 0.000 0.000 0.000 x4
Bi: 0.183 0.250 0.125 x8
Cl: 0.000 0.000 0.500 x4

=====

*x*
This record from Alexandria via LeMat-Bulk describes a geometry-optimized TcBi2Cl structure. The functional is GGA-PBE.

Results
Magnetic moment   0.513 μB per atom

Lattice parameters (Å, degrees): 7.215 7.215 7.215 90.00 90.00 90.00
Space group Fm-3m (No. 225)
One atom of each set of equivalent atoms:
Tc: 0.000 0.000 0.000 x4
Bi: 0.250 0.250 0.250 x8
Cl: 0.000 0.000 0.500 x4

=====

*w* wins, 0.067 eV/atom ahead of the next structure.

=====

*w*
This record from Alexandria via LeMat-Bulk describes a geometry-optimized Tc3BiCl structure. The functional is GGA-PBE.

Results
Magnetic moment   1.740 μB per atom

Lattice parameters (Å, degrees): 5.237 5.237 5.237 90.00 90.00 90.00
Space group Pm-3m (No. 221)
One atom of each set of equivalent atoms:
Tc: 0.000 0.000 0.500 x3
Bi: 0.000 0.000 0.000 x1
Cl: 0.500 0.500 0.500 x1

=====

*x*
This record from Alexandria via LeMat-Bulk describes a geometry-optimized Tc3BiCl structure. The functional is GGA-PBE.

Results
Magnetic moment   0.220 μB per atom

Lattice parameters (Å, degrees): 4.486 4.486 4.486 90.00 90.00 90.00
Space group Pm-3m (No. 221)
One atom of each set of equivalent atoms:
Tc: 0.000 0.000 0.500 x3
Bi: 0.500 0.500 0.500 x1
Cl: 0.000 0.000 0.000 x1

=====

*x* wins, 1.132 eV/atom ahead of the next structure.

=====

*w*
This record from Alexandria via LeMat-Bulk describes a geometry-optimized Bi3TeCl structure. The functional is GGA-PBE.

Results
Magnetic moment   0.000 μB per atom

Lattice parameters (Å, degrees): 5.552 5.552 5.552 90.00 90.00 90.00
Space group Pm-3m (No. 221)
One atom of each set of equivalent atoms:
Bi: 0.000 0.000 0.500 x3
Te: 0.500 0.500 0.500 x1
Cl: 0.000 0.000 0.000 x1

=====

*x*
This record from Alexandria via LeMat-Bulk describes a geometry-optimized Bi3TeCl structure. The functional is GGA-PBE.

Results
Magnetic moment   0.000 μB per atom

Lattice parameters (Å, degrees): 5.909 5.909 5.909 90.00 90.00 90.00
Space group Pm-3m (No. 221)
One atom of each set of equivalent atoms:
Bi: 0.000 0.000 0.500 x3
Te: 0.000 0.000 0.000 x1
Cl: 0.500 0.500 0.500 x1

=====

*x* wins, 0.017 eV/atom ahead of the next structure.

=====

*w*
This record from Alexandria via LeMat-Bulk describes a geometry-optimized Bi2Te2Cl structure. The functional is GGA-PBE.

Results
Magnetic moment   0.000 μB per atom

Lattice parameters (Å, degrees): 8.802 8.802 3.991 90.00 90.00 90.00
Space group P4/mbm (No. 127)
One atom of each set of equivalent atoms:
Bi: 0.142 0.358 0.000 x4
Te: 0.150 0.650 0.500 x4
Cl: 0.000 0.000 0.500 x2

=====

*x*
This record from Alexandria via LeMat-Bulk describes a geometry-optimized Bi2Te2Cl structure. The functional is GGA-PBE.

Results
Magnetic moment   0.000 μB per atom

Lattice parameters (Å, degrees): 5.905 5.905 10.019 90.00 90.00 90.00
Space group I4/mmm (No. 139)
One atom of each set of equivalent atoms:
Bi: 0.000 0.000 0.158 x4
Te: 0.000 0.500 0.250 x4
Cl: 0.000 0.000 0.500 x2

=====

*x* wins, 0.096 eV/atom ahead of the next structure.

=====

*w*
This record from Alexandria via LeMat-Bulk describes a geometry-optimized Bi2Te2Cl structure. The functional is GGA-PBE.

Results
Magnetic moment   0.000 μB per atom

Lattice parameters (Å, degrees): 6.321 13.799 17.444 90.00 90.00 90.00
Space group Fddd (No. 70, origin choice 2)
One atom of each set of equivalent atoms:
Bi: 0.000 0.000 0.000 x16
Te: 0.125 0.341 0.625 x16
Cl: 0.125 0.125 0.125 x8

=====

*x*
This record from Alexandria via LeMat-Bulk describes a geometry-optimized Bi2Te2Cl structure. The functional is GGA-PBE.

Results
Magnetic moment   0.000 μB per atom

Lattice parameters (Å, degrees): 4.298 7.630 12.007 92.08 99.49 106.15
Space group P-1 (No. 2)
One atom of each set of equivalent atoms:
Bi: 0.161 0.490 0.337 x2
Bi: 0.338 0.007 0.163 x2
Te: 0.073 0.743 0.909 x2
Te: 0.428 0.759 0.590 x2
Cl: 0.252 0.253 0.751 x2

=====

*x* wins, 0.355 eV/atom ahead of the next structure.

=====

*w*
This record from Alexandria via LeMat-Bulk describes a geometry-optimized BiTeCl2 structure. The functional is GGA-PBE.

Results
Magnetic moment   0.250 μB per atom

Lattice parameters (Å, degrees): 9.362 9.362 6.170 90.00 90.00 90.00
Space group I-42d (No. 122)
One atom of each set of equivalent atoms:
Bi: 0.000 0.000 0.000 x4
Te: 0.000 0.000 0.500 x4
Cl: 0.140 0.250 0.125 x8

=====

*x*
This record from Alexandria via LeMat-Bulk describes a geometry-optimized BiTeCl2 structure. The functional is GGA-PBE.

Results
Magnetic moment   0.260 μB per atom

Lattice parameters (Å, degrees): 4.238 8.625 7.457 90.00 106.33 90.00
Space group P2_1/m (No. 11)
One atom of each set of equivalent atoms:
Bi: 0.224 0.250 0.443 x2
Te: 0.423 0.750 0.853 x2
Cl: 0.159 0.557 0.316 x4

=====

*x* wins, 0.205 eV/atom ahead of the next structure.

=====

*w*
This record from Alexandria via LeMat-Bulk describes a geometry-optimized ThBiCl structure. The functional is GGA-PBE.

Results
Magnetic moment   0.000 μB per atom

Lattice parameters (Å, degrees): 5.258 6.229 6.413 101.54 90.39 114.94
Space group P-1 (No. 2)
One atom of each set of equivalent atoms:
Th: 0.186 0.376 0.276 x2
Bi: 0.121 0.236 0.769 x2
Cl: 0.395 0.787 0.644 x2

=====

*x*
This record from Alexandria via LeMat-Bulk describes a geometry-optimized ThBiCl structure. The functional is GGA-PBE.

Results
Magnetic moment   0.000 μB per atom

Lattice parameters (Å, degrees): 4.8486 4.8486 4.2430 90.00 90.00 120.00
Space group P-6m2 (No. 187)
One atom of each set of equivalent atoms:
Th: 0.0000 0.0000 0.0000 x1
Bi: 0.6667 0.3333 0.5000 x1
Cl: 0.3333 0.6667 0.0000 x1

=====

*x* wins, 0.073 eV/atom ahead of the next structure.

=====

*w*
This record from Alexandria via LeMat-Bulk describes a geometry-optimized Ti3BiCl structure. The functional is GGA-PBE.

Results
Magnetic moment   1.564 μB per atom

Lattice parameters (Å, degrees): 5.412 5.412 5.412 90.00 90.00 90.00
Space group Pm-3m (No. 221)
One atom of each set of equivalent atoms:
Ti: 0.000 0.000 0.500 x3
Bi: 0.000 0.000 0.000 x1
Cl: 0.500 0.500 0.500 x1

=====

*x*
This record from Alexandria via LeMat-Bulk describes a geometry-optimized Ti3BiCl structure. The functional is GGA-PBE.

Results
Magnetic moment   0.312 μB per atom

Lattice parameters (Å, degrees): 4.560 4.560 4.560 90.00 90.00 90.00
Space group Pm-3m (No. 221)
One atom of each set of equivalent atoms:
Ti: 0.000 0.000 0.500 x3
Bi: 0.500 0.500 0.500 x1
Cl: 0.000 0.000 0.000 x1

=====

*x* wins, 1.002 eV/atom ahead of the next structure.